[1]
Below is ZnIn2Ag after structural relaxation, with properties calculated at the PBEsol level.

a b c (Å): 3.0928 3.0928 8.3821
angles (deg): 90.00 90.00 90.00
Space group P4mm (No. 99)
Unique sites:
1 Zn 0.0000 0.0000 0.0000 x1
2 In 0.0000 0.0000 0.4372 x1
3 In 0.5000 0.5000 0.7526 x1
4 Ag 0.5000 0.5000 0.1886 x1

[2]
Below is MgZrSbRu2 after structural relaxation, with properties calculated at the PBEsol level.

a b c (Å): 4.7948 4.7948 5.1465
angles (deg): 90.00 90.00 90.00
Space group P4/mmm (No. 123)
Unique sites:
1 Mg 0.0000 0.0000 0.0000 x1
2 Zr 0.5000 0.5000 0.0000 x1
3 Sb 0.5000 0.5000 0.5000 x1
4 Ru 0.0000 0.5000 0.5000 x2

[3]
Below is Zr3TaSe after structural relaxation, with properties calculated at the PBEsol level.

a b c (Å): 5.0516 5.0516 5.0516
angles (deg): 90.00 90.00 90.00
Space group Pm-3m (No. 221)
Unique sites:
1 Zr 0.0000 0.0000 0.5000 x3
2 Ta 0.0000 0.0000 0.0000 x1
3 Se 0.5000 0.5000 0.5000 x1

Short version: uncorrected energy = -2.681; -5.994; -7.859 eV/atom, in the order given.
Short version: density = 8.3; 6.2; 6.9 g cm⁻³, in the order given.
Short version: N(E_F) = 1.39; 4.59; 7.97 states/eV/f.u., in the order given.